No. 1
# TlHg | the Alexandria database | PBE-GGA | relaxed
# Energy of formation: -1 kJ/mol of formula units
data_TlHg
_space_group_name_H-M_alt 'P 1'
_space_group_IT_number 1
_space_group_name_Hall 'P 1'
_cell_length_a 3.879
_cell_length_b 3.879
_cell_length_c 3.879
_cell_angle_alpha 90.00
_cell_angle_beta 90.00
_cell_angle_gamma 90.00
loop_
_atom_site_label
_atom_site_fract_x
_atom_site_fract_y
_atom_site_fract_z
_atom_site_occupancy
Tl1 0.000 0.000 0.000 1
Hg1 0.500 0.500 0.500 1

No. 2
# TlHg2 | the Alexandria database | PBE-GGA | relaxed
# Energy of formation: 6 kJ/mol of formula units
data_TlHg2
_space_group_name_H-M_alt 'P 1'
_space_group_IT_number 1
_space_group_name_Hall 'P 1'
_cell_length_a 6.245
_cell_length_b 6.245
_cell_length_c 6.245
_cell_angle_alpha 60.00
_cell_angle_beta 60.00
_cell_angle_gamma 60.00
loop_
_atom_site_label
_atom_site_fract_x
_atom_site_fract_y
_atom_site_fract_z
_atom_site_occupancy
Tl1 0.125 0.125 0.125 1
Tl2 0.875 0.875 0.875 1
Hg1 0.000 0.500 0.500 1
Hg2 0.500 0.000 0.500 1
Hg3 0.500 0.500 0.000 1
Hg4 0.500 0.500 0.500 1

No. 3
# TlHg | the Alexandria database | PBE-GGA | relaxed
# Energy of formation: 49 kJ/mol of formula units
data_TlHg
_space_group_name_H-M_alt 'P 1'
_space_group_IT_number 1
_space_group_name_Hall 'P 1'
_cell_length_a 7.008
_cell_length_b 7.008
_cell_length_c 7.008
_cell_angle_alpha 90.00
_cell_angle_beta 90.00
_cell_angle_gamma 90.00
loop_
_atom_site_label
_atom_site_fract_x
_atom_site_fract_y
_atom_site_fract_z
_atom_site_occupancy
Tl1 0.000 0.000 0.000 1
Tl2 0.000 0.500 0.500 1
Tl3 0.500 0.000 0.500 1
Tl4 0.500 0.500 0.000 1
Hg1 0.250 0.250 0.250 1
Hg2 0.250 0.750 0.750 1
Hg3 0.750 0.250 0.750 1
Hg4 0.750 0.750 0.250 1

No. 4
# Tl3Hg | the Alexandria database | PBE-GGA | relaxed
# Energy of formation: -1 kJ/mol of formula units
data_Tl3Hg
_space_group_name_H-M_alt 'P 1'
_space_group_IT_number 1
_space_group_name_Hall 'P 1'
_cell_length_a 3.910
_cell_length_b 3.910
_cell_length_c 7.758
_cell_angle_alpha 90.00
_cell_angle_beta 90.00
_cell_angle_gamma 90.00
loop_
_atom_site_label
_atom_site_fract_x
_atom_site_fract_y
_atom_site_fract_z
_atom_site_occupancy
Tl1 0.000 0.000 0.000 1
Tl2 0.500 0.500 0.264 1
Tl3 0.500 0.500 0.736 1
Hg1 0.000 0.000 0.500 1

No. 5
# TlHg4 | the Alexandria database | PBE-GGA | relaxed
# Energy of formation: -6 kJ/mol of formula units
data_TlHg4
_space_group_name_H-M_alt 'P 1'
_space_group_IT_number 1
_space_group_name_Hall 'P 1'
_cell_length_a 9.401
_cell_length_b 5.703
_cell_length_c 5.636
_cell_angle_alpha 90.00
_cell_angle_beta 108.99
_cell_angle_gamma 90.00
loop_
_atom_site_label
_atom_site_fract_x
_atom_site_fract_y
_atom_site_fract_z
_atom_site_occupancy
Tl1 0.000 0.000 0.000 1
Tl2 0.500 0.500 0.000 1
Hg1 0.100 0.500 0.789 1
Hg2 0.208 0.000 0.609 1
Hg3 0.292 0.500 0.391 1
Hg4 0.400 0.000 0.211 1
Hg5 0.600 0.000 0.789 1
Hg6 0.708 0.500 0.609 1
Hg7 0.792 0.000 0.391 1
Hg8 0.900 0.500 0.211 1

No. 6
# Tl3Hg4 | the Alexandria database | PBE-GGA | relaxed
# Energy of formation: -7 kJ/mol of formula units
data_Tl3Hg4
_space_group_name_H-M_alt 'P 1'
_space_group_IT_number 1
_space_group_name_Hall 'P 1'
_cell_length_a 6.326
_cell_length_b 6.326
_cell_length_c 17.881
_cell_angle_alpha 94.33
_cell_angle_beta 94.33
_cell_angle_gamma 34.55
loop_
_atom_site_label
_atom_site_fract_x
_atom_site_fract_y
_atom_site_fract_z
_atom_site_occupancy
Tl1 0.000 0.000 0.000 1
Tl2 0.136 0.136 0.714 1
Tl3 0.288 0.288 0.439 1
Tl4 0.425 0.425 0.153 1
Tl5 0.560 0.560 0.358 1
Tl6 0.864 0.864 0.795 1
Hg1 0.005 0.005 0.510 1
Hg2 0.143 0.143 0.216 1
Hg3 0.282 0.282 0.938 1
Hg4 0.418 0.418 0.644 1
Hg5 0.586 0.586 0.862 1
Hg6 0.712 0.712 0.077 1
Hg7 0.712 0.712 0.577 1
Hg8 0.839 0.839 0.291 1

No. 7
# TlHg2 | the Alexandria database | PBE-GGA | relaxed
# Energy of formation: -6 kJ/mol of formula units
data_TlHg2
_space_group_name_H-M_alt 'P 1'
_space_group_IT_number 1
_space_group_name_Hall 'P 1'
_cell_length_a 3.505
_cell_length_b 4.172
_cell_length_c 11.723
_cell_angle_alpha 90.00
_cell_angle_beta 90.00
_cell_angle_gamma 90.00
loop_
_atom_site_label
_atom_site_fract_x
_atom_site_fract_y
_atom_site_fract_z
_atom_site_occupancy
Tl1 0.000 0.000 0.000 1
Tl2 0.500 0.500 0.500 1
Hg1 0.000 0.000 0.326 1
Hg2 0.000 0.000 0.674 1
Hg3 0.500 0.500 0.174 1
Hg4 0.500 0.500 0.826 1

No. 8
# TlHg | the Alexandria database | PBE-GGA | relaxed
# Energy of formation: 4 kJ/mol of formula units
data_TlHg
_space_group_name_H-M_alt 'P 1'
_space_group_IT_number 1
_space_group_name_Hall 'P 1'
_cell_length_a 6.387
_cell_length_b 6.387
_cell_length_c 6.387
_cell_angle_alpha 90.00
_cell_angle_beta 90.00
_cell_angle_gamma 90.00
loop_
_atom_site_label
_atom_site_fract_x
_atom_site_fract_y
_atom_site_fract_z
_atom_site_occupancy
Tl1 0.000 0.000 0.000 1
Tl2 0.000 0.500 0.500 1
Tl3 0.500 0.000 0.500 1
Tl4 0.500 0.500 0.000 1
Hg1 0.000 0.000 0.500 1
Hg2 0.000 0.500 0.000 1
Hg3 0.500 0.000 0.000 1
Hg4 0.500 0.500 0.500 1

No. 9
# Tl3Hg4 | the Alexandria database | PBE-GGA | relaxed
# Energy of formation: -9 kJ/mol of formula units
data_Tl3Hg4
_space_group_name_H-M_alt 'P 1'
_space_group_IT_number 1
_space_group_name_Hall 'P 1'
_cell_length_a 3.630
_cell_length_b 4.204
_cell_length_c 26.443
_cell_angle_alpha 90.00
_cell_angle_beta 90.00
_cell_angle_gamma 90.00
loop_
_atom_site_label
_atom_site_fract_x
_atom_site_fract_y
_atom_site_fract_z
_atom_site_occupancy
Tl1 0.000 0.000 0.000 1
Tl2 0.000 0.000 0.144 1
Tl3 0.000 0.000 0.856 1
Tl4 0.500 0.500 0.356 1
Tl5 0.500 0.500 0.500 1
Tl6 0.500 0.500 0.644 1
Hg1 0.000 0.000 0.283 1
Hg2 0.000 0.000 0.428 1
Hg3 0.000 0.000 0.572 1
Hg4 0.000 0.000 0.717 1
Hg5 0.500 0.500 0.072 1
Hg6 0.500 0.500 0.217 1
Hg7 0.500 0.500 0.783 1
Hg8 0.500 0.500 0.928 1

No. 10
# Tl7Hg6 | the Alexandria database | PBE-GGA | relaxed
# Energy of formation: 84 kJ/mol of formula units
data_Tl7Hg6
_space_group_name_H-M_alt 'P 1'
_space_group_IT_number 1
_space_group_name_Hall 'P 1'
_cell_length_a 11.321
_cell_length_b 11.321
_cell_length_c 11.321
_cell_angle_alpha 34.14
_cell_angle_beta 34.14
_cell_angle_gamma 34.14
loop_
_atom_site_label
_atom_site_fract_x
_atom_site_fract_y
_atom_site_fract_z
_atom_site_occupancy
Tl1 0.000 0.000 0.000 1
Tl2 0.089 0.089 0.577 1
Tl3 0.089 0.577 0.089 1
Tl4 0.423 0.911 0.911 1
Tl5 0.577 0.089 0.089 1
Tl6 0.911 0.423 0.911 1
Tl7 0.911 0.911 0.423 1
Hg1 0.165 0.165 0.165 1
Hg2 0.349 0.349 0.349 1
Hg3 0.452 0.452 0.452 1
Hg4 0.548 0.548 0.548 1
Hg5 0.651 0.651 0.651 1
Hg6 0.835 0.835 0.835 1

No. 11
# TlHg2 | the Alexandria database | PBE-GGA | relaxed
# Energy of formation: -1 kJ/mol of formula units
data_TlHg2
_space_group_name_H-M_alt 'P 1'
_space_group_IT_number 1
_space_group_name_Hall 'P 1'
_cell_length_a 14.037
_cell_length_b 3.456
_cell_length_c 7.239
_cell_angle_alpha 90.00
_cell_angle_beta 102.45
_cell_angle_gamma 90.00
loop_
_atom_site_label
_atom_site_fract_x
_atom_site_fract_y
_atom_site_fract_z
_atom_site_occupancy
Tl1 0.000 0.000 0.000 1
Tl2 0.175 0.500 0.357 1
Tl3 0.500 0.500 0.000 1
Tl4 0.675 0.000 0.357 1
Hg1 0.175 0.500 0.845 1
Hg2 0.336 0.000 0.176 1
Hg3 0.338 0.000 0.678 1
Hg4 0.498 0.500 0.507 1
Hg5 0.675 0.000 0.845 1
Hg6 0.836 0.500 0.176 1
Hg7 0.838 0.500 0.678 1
Hg8 0.998 0.000 0.507 1

No. 12
# Tl6Hg | the Alexandria database | PBE-GGA | relaxed
# Energy of formation: 5 kJ/mol of formula units
data_Tl6Hg
_space_group_name_H-M_alt 'P 1'
_space_group_IT_number 1
_space_group_name_Hall 'P 1'
_cell_length_a 8.525
_cell_length_b 8.525
_cell_length_c 8.525
_cell_angle_alpha 118.23
_cell_angle_beta 118.23
_cell_angle_gamma 118.23
loop_
_atom_site_label
_atom_site_fract_x
_atom_site_fract_y
_atom_site_fract_z
_atom_site_occupancy
Tl1 0.013 0.592 0.737 1
Tl2 0.263 0.987 0.408 1
Tl3 0.408 0.263 0.987 1
Tl4 0.592 0.737 0.013 1
Tl5 0.737 0.013 0.592 1
Tl6 0.987 0.408 0.263 1
Hg1 0.500 0.500 0.500 1

No. 13
# Tl3Hg | the Alexandria database | PBE-GGA | relaxed
# Energy of formation: 173 kJ/mol of formula units
data_Tl3Hg
_space_group_name_H-M_alt 'P 1'
_space_group_IT_number 1
_space_group_name_Hall 'P 1'
_cell_length_a 5.886
_cell_length_b 5.886
_cell_length_c 5.886
_cell_angle_alpha 90.00
_cell_angle_beta 90.00
_cell_angle_gamma 90.00
loop_
_atom_site_label
_atom_site_fract_x
_atom_site_fract_y
_atom_site_fract_z
_atom_site_occupancy
Tl1 0.000 0.000 0.500 1
Tl2 0.000 0.500 0.000 1
Tl3 0.500 0.000 0.000 1
Hg1 0.000 0.000 0.000 1